# Y3Er3Te2Pt

A geometry-optimized Y3Er3Te2Pt structure (PBE, OQMD).

a b c (Å): 8.3694 8.3694 3.9557
angles (deg): 90.00 90.00 120.00
Space group P-62m (No. 189)
Inequivalent atoms, fractional coordinates:
Y 0.0000 0.5997 0.0000 (multiplicity 3)
Er 0.0000 0.2435 0.5000 (multiplicity 3)
Te 0.3333 0.6667 0.5000 (multiplicity 2)
Pt 0.0000 0.0000 0.0000 (multiplicity 1)

## Properties
Calculated density, Mg/m³: 8.434
Total DFT energy (no corrections), eV/atom: -5.97
ΔE to the lowest computed polymorph, eV per atom: 0.0000

# KDyHf

A geometry-optimized KDyHf structure (PBE, OQMD).

a b c (Å): 7.895 7.895 7.895
angles (deg): 90.00 90.00 90.00
Space group F-43m (No. 216)
Inequivalent atoms, fractional coordinates:
K 0.000 0.000 0.000 (multiplicity 4)
Dy 0.250 0.250 0.750 (multiplicity 4)
Hf 0.000 0.000 0.500 (multiplicity 4)

## Properties
Calculated density, Mg/m³: 5.131
Total DFT energy (no corrections), eV/atom: -3.56
ΔE to the lowest computed polymorph, eV per atom: 0.0000

# YBeCoSn

A geometry-optimized YBeCoSn structure (PBE, OQMD).

a b c (Å): 6.565 6.565 6.565
angles (deg): 90.00 90.00 90.00
Space group F-43m (No. 216)
Inequivalent atoms, fractional coordinates:
Y 0.000 0.000 0.000 (multiplicity 4)
Be 0.000 0.000 0.500 (multiplicity 4)
Co 0.250 0.250 0.250 (multiplicity 4)
Sn 0.250 0.250 0.750 (multiplicity 4)

## Properties
Calculated density, Mg/m³: 6.469
Total DFT energy (no corrections), eV/atom: -5.12
ΔE to the lowest computed polymorph, eV per atom: 0.3223

Q: What is the formula in the third record?
A: YBeCoSn